# ScCr2InRh (PBEsol, optimized geometry)
data_ScCr2InRh
_chemical_formula_sum 'Sc1 Cr2 In1 Rh1'
_cell_length_a 4.710
_cell_length_b 4.710
_cell_length_c 4.789
_cell_angle_alpha 90.00
_cell_angle_beta 90.00
_cell_angle_gamma 90.00
_symmetry_space_group_name_H-M 'P 4/m m m'
_symmetry_Int_Tables_number 123
_symmetry_space_group_name_Hall '-P 4 2'
loop_
_atom_site_label
_atom_site_type_symbol
_atom_site_fract_x
_atom_site_fract_y
_atom_site_fract_z
Sc1 Sc 0.000 0.000 0.000
Cr1 Cr 0.000 0.500 0.500
In1 In 0.500 0.500 0.000
Rh1 Rh 0.000 0.000 0.500
# - formation energy from the elements (eV per atom) = 0.6929
# - N(E_F) (states/eV/cell) = 6.6
# - VASP energy (eV/atom) = -6.949
# - total magnetic moment (μB per cell) = 6.72

# Cr2InRu (PBEsol, optimized geometry)
data_Cr2InRu
_chemical_formula_sum 'Cr2 In1 Ru1'
_cell_length_a 2.958
_cell_length_b 2.958
_cell_length_c 6.363
_cell_angle_alpha 90.00
_cell_angle_beta 90.00
_cell_angle_gamma 90.00
_symmetry_space_group_name_H-M 'P 4 m m'
_symmetry_Int_Tables_number 99
_symmetry_space_group_name_Hall 'P 4 -2'
loop_
_atom_site_label
_atom_site_type_symbol
_atom_site_fract_x
_atom_site_fract_y
_atom_site_fract_z
Cr1 Cr 0.000 0.000 0.000
Cr2 Cr 0.500 0.500 0.184
In1 In 0.000 0.000 0.475
Ru1 Ru 0.500 0.500 0.765
# - formation energy from the elements (eV per atom) = 0.2246
# - N(E_F) (states/eV/cell) = 3.6
# - VASP energy (eV/atom) = -8.185
# - total magnetic moment (μB per cell) = 0.82

# CrInRu (PBEsol, optimized geometry)
data_CrInRu
_chemical_formula_sum 'Cr1 In1 Ru1'
_cell_length_a 4.2236
_cell_length_b 4.2236
_cell_length_c 2.9100
_cell_angle_alpha 90.00
_cell_angle_beta 90.00
_cell_angle_gamma 120.00
_symmetry_space_group_name_H-M 'P 3 m 1'
_symmetry_Int_Tables_number 156
_symmetry_space_group_name_Hall 'P 3 -2"'
loop_
_atom_site_label
_atom_site_type_symbol
_atom_site_fract_x
_atom_site_fract_y
_atom_site_fract_z
Cr1 Cr 0.0000 0.0000 0.0000
In1 In 0.3333 0.6667 0.5555
Ru1 Ru 0.6667 0.3333 0.0986
# - formation energy from the elements (eV per atom) = 0.3547
# - N(E_F) (states/eV/cell) = 3.1
# - VASP energy (eV/atom) = -7.444
# - total magnetic moment (μB per cell) = 0.39

# Cr2InRu (PBEsol, optimized geometry)
data_Cr2InRu
_chemical_formula_sum 'Cr8 In4 Ru4'
_cell_length_a 6.137
_cell_length_b 6.137
_cell_length_c 6.137
_cell_angle_alpha 90.00
_cell_angle_beta 90.00
_cell_angle_gamma 90.00
_symmetry_space_group_name_H-M 'F -4 3 m'
_symmetry_Int_Tables_number 216
_symmetry_space_group_name_Hall 'F -4 2 3'
loop_
_atom_site_label
_atom_site_type_symbol
_atom_site_fract_x
_atom_site_fract_y
_atom_site_fract_z
Cr1 Cr 0.000 0.000 0.000
Cr2 Cr 0.250 0.250 0.250
In1 In 0.000 0.000 0.500
Ru1 Ru 0.250 0.250 0.750
# - formation energy from the elements (eV per atom) = 0.3163
# - N(E_F) (states/eV/cell) = 19.2
# - VASP energy (eV/atom) = -8.094
# - total magnetic moment (μB per cell) = 3.51

# Cr2InRu (PBEsol, optimized geometry)
data_Cr2InRu
_chemical_formula_sum 'Cr4 In2 Ru2'
_cell_length_a 2.947
_cell_length_b 4.610
_cell_length_c 8.339
_cell_angle_alpha 90.00
_cell_angle_beta 90.00
_cell_angle_gamma 90.00
_symmetry_space_group_name_H-M 'C m m 2'
_symmetry_Int_Tables_number 35
_symmetry_space_group_name_Hall 'C 2 -2'
loop_
_atom_site_label
_atom_site_type_symbol
_atom_site_fract_x
_atom_site_fract_y
_atom_site_fract_z
Cr1 Cr 0.000 0.000 0.000
Cr2 Cr 0.000 0.500 0.202
In1 In 0.000 0.000 0.482
Ru1 Ru 0.000 0.500 0.762
# - formation energy from the elements (eV per atom) = 0.4315
# - N(E_F) (states/eV/cell) = 7.3
# - VASP energy (eV/atom) = -7.978
# - total magnetic moment (μB per cell) = 0.00

# CrInSn2S (PBEsol, optimized geometry)
data_CrInSn2S
_chemical_formula_sum 'Cr1 In1 Sn2 S1'
_cell_length_a 5.377
_cell_length_b 5.377
_cell_length_c 4.376
_cell_angle_alpha 90.00
_cell_angle_beta 90.00
_cell_angle_gamma 90.00
_symmetry_space_group_name_H-M 'P 4/m m m'
_symmetry_Int_Tables_number 123
_symmetry_space_group_name_Hall '-P 4 2'
loop_
_atom_site_label
_atom_site_type_symbol
_atom_site_fract_x
_atom_site_fract_y
_atom_site_fract_z
Cr1 Cr 0.000 0.000 0.000
In1 In 0.500 0.500 0.000
Sn1 Sn 0.000 0.500 0.500
S1 S 0.000 0.000 0.500
# - formation energy from raw total energies (eV/atom) = 0.319
# - N(E_F) (states/eV/cell) = 3.0
# - VASP energy (eV/atom) = -4.906
# - total magnetic moment (μB per cell) = 3.72

# CrInSb2 (PBEsol, optimized geometry)
data_CrInSb2
_chemical_formula_sum 'Cr1 In1 Sb2'
_cell_length_a 4.248
_cell_length_b 3.974
_cell_length_c 5.924
_cell_angle_alpha 90.00
_cell_angle_beta 108.40
_cell_angle_gamma 90.00
_symmetry_space_group_name_H-M 'P 1 2/m 1'
_symmetry_Int_Tables_number 10
_symmetry_space_group_name_Hall '-P 2y'
loop_
_atom_site_label
_atom_site_type_symbol
_atom_site_fract_x
_atom_site_fract_y
_atom_site_fract_z
Cr1 Cr 0.000 0.000 0.000
In1 In 0.000 0.000 0.500
Sb1 Sb 0.428 0.500 0.221
# - formation energy from raw total energies (eV/atom) = 0.298
# - N(E_F) (states/eV/cell) = 2.1
# - VASP energy (eV/atom) = -5.287
# - total magnetic moment (μB per cell) = 3.24

# Sc3CrIn (PBEsol, optimized geometry)
data_Sc3CrIn
_chemical_formula_sum 'Sc3 Cr1 In1'
_cell_length_a 5.266
_cell_length_b 5.266
_cell_length_c 5.266
_cell_angle_alpha 90.00
_cell_angle_beta 90.00
_cell_angle_gamma 90.00
_symmetry_space_group_name_H-M 'P m -3 m'
_symmetry_Int_Tables_number 221
_symmetry_space_group_name_Hall '-P 4 2 3'
loop_
_atom_site_label
_atom_site_type_symbol
_atom_site_fract_x
_atom_site_fract_y
_atom_site_fract_z
Sc1 Sc 0.000 0.000 0.500
Cr1 Cr 0.500 0.500 0.500
In1 In 0.000 0.000 0.000
# - formation energy from the elements (eV per atom) = 0.9335
# - N(E_F) (states/eV/cell) = 7.5
# - VASP energy (eV/atom) = -5.674
# - total magnetic moment (μB per cell) = 6.61

# ScCrIn3 (PBEsol, optimized geometry)
data_ScCrIn3
_chemical_formula_sum 'Sc1 Cr1 In3'
_cell_length_a 4.933
_cell_length_b 4.933
_cell_length_c 4.933
_cell_angle_alpha 90.00
_cell_angle_beta 90.00
_cell_angle_gamma 90.00
_symmetry_space_group_name_H-M 'P m -3 m'
_symmetry_Int_Tables_number 221
_symmetry_space_group_name_Hall '-P 4 2 3'
loop_
_atom_site_label
_atom_site_type_symbol
_atom_site_fract_x
_atom_site_fract_y
_atom_site_fract_z
Sc1 Sc 0.000 0.000 0.000
Cr1 Cr 0.500 0.500 0.500
In1 In 0.000 0.500 0.500
# - formation energy from the elements (eV per atom) = 0.4140
# - N(E_F) (states/eV/cell) = 3.3
# - VASP energy (eV/atom) = -4.745
# - total magnetic moment (μB per cell) = 1.51

# ScCrIn2Sn (PBEsol, optimized geometry)
data_ScCrIn2Sn
_chemical_formula_sum 'Sc1 Cr1 In2 Sn1'
_cell_length_a 5.108
_cell_length_b 5.108
_cell_length_c 4.569
_cell_angle_alpha 90.00
_cell_angle_beta 90.00
_cell_angle_gamma 90.00
_symmetry_space_group_name_H-M 'P 4/m m m'
_symmetry_Int_Tables_number 123
_symmetry_space_group_name_Hall '-P 4 2'
loop_
_atom_site_label
_atom_site_type_symbol
_atom_site_fract_x
_atom_site_fract_y
_atom_site_fract_z
Sc1 Sc 0.000 0.000 0.000
Cr1 Cr 0.000 0.000 0.500
In1 In 0.000 0.500 0.500
Sn1 Sn 0.500 0.500 0.000
# - formation energy from the elements (eV per atom) = 0.3809
# - N(E_F) (states/eV/cell) = 4.2
# - VASP energy (eV/atom) = -5.034
# - total magnetic moment (μB per cell) = 1.55

# CrInSe2 (PBEsol, optimized geometry)
data_CrInSe2
_chemical_formula_sum 'Cr1 In1 Se2'
_cell_length_a 2.990
_cell_length_b 2.990
_cell_length_c 8.514
_cell_angle_alpha 90.00
_cell_angle_beta 90.00
_cell_angle_gamma 90.00
_symmetry_space_group_name_H-M 'P 4 m m'
_symmetry_Int_Tables_number 99
_symmetry_space_group_name_Hall 'P 4 -2'
loop_
_atom_site_label
_atom_site_type_symbol
_atom_site_fract_x
_atom_site_fract_y
_atom_site_fract_z
Cr1 Cr 0.000 0.000 0.000
In1 In 0.500 0.500 0.230
Se1 Se 0.000 0.000 0.511
Se2 Se 0.500 0.500 0.855
# - formation energy from raw total energies (eV/atom) = 0.028
# - N(E_F) (states/eV/cell) = 1.8
# - VASP energy (eV/atom) = -5.203
# - total magnetic moment (μB per cell) = 1.41

# CrIn2Se (PBEsol, optimized geometry)
data_CrIn2Se
_chemical_formula_sum 'Cr1 In2 Se1'
_cell_length_a 3.024
_cell_length_b 3.024
_cell_length_c 8.666
_cell_angle_alpha 90.00
_cell_angle_beta 90.00
_cell_angle_gamma 90.00
_symmetry_space_group_name_H-M 'P 4 m m'
_symmetry_Int_Tables_number 99
_symmetry_space_group_name_Hall 'P 4 -2'
loop_
_atom_site_label
_atom_site_type_symbol
_atom_site_fract_x
_atom_site_fract_y
_atom_site_fract_z
Cr1 Cr 0.000 0.000 0.000
In1 In 0.000 0.000 0.533
In2 In 0.500 0.500 0.229
Se1 Se 0.500 0.500 0.862
# - formation energy from raw total energies (eV/atom) = -0.006
# - N(E_F) (states/eV/cell) = 2.2
# - VASP energy (eV/atom) = -5.020
# - total magnetic moment (μB per cell) = 1.20